a) Compound: PrZnCuPd
Source: Alexandria via LeMat-Bulk
Functional: PBE
Structure: relaxed Values from VASP.

## Properties
- DOS at the Fermi energy (states/eV/f.u.) = 2.9
- space group = F-43m, No. 216

Cell and atoms, written as Quantum ESPRESSO input:
```
&SYSTEM
  ibrav = 0, nat = 4, ntyp = 4
/
ATOMIC_SPECIES
Pr 140.91 Pr.upf
Zn 65.41 Zn.upf
Cu 63.55 Cu.upf
Pd 106.42 Pd.upf
CELL_PARAMETERS angstrom
0.000 3.390 3.390
3.390 0.000 3.390
3.390 3.390 0.000
ATOMIC_POSITIONS crystal
Pr 0.000 0.000 0.000
Zn 0.500 0.500 0.500
Cu 0.250 0.250 0.250
Pd 0.750 0.750 0.750
```


b) Compound: PrZnCuPd
Source: Alexandria via LeMat-Bulk
Functional: PBE
Structure: relaxed Values from VASP.

## Properties
- DOS at the Fermi energy (states/eV/f.u.) = 2.4
- space group = Cm, No. 8

Cell and atoms, written as Quantum ESPRESSO input:
```
&SYSTEM
  ibrav = 0, nat = 4, ntyp = 4
/
ATOMIC_SPECIES
Pr 140.91 Pr.upf
Zn 65.41 Zn.upf
Cu 63.55 Cu.upf
Pd 106.42 Pd.upf
CELL_PARAMETERS angstrom
3.807 -2.202 0.000
3.807 2.202 0.000
-2.544 0.000 4.775
ATOMIC_POSITIONS crystal
Pr 0.000 0.000 0.000
Zn 0.498 0.498 0.493
Cu 0.795 0.795 0.384
Pd 0.208 0.208 0.625
```


Which is the most stable structure? b) is the most stable.


a) Compound: Cu6PdPt2
Source: Alexandria via LeMat-Bulk
Functional: PBE
Structure: relaxed Values from VASP.

## Properties
- DOS at the Fermi energy (states/eV/f.u.) = 4.7
- space group = P-31m, No. 162

Cell and atoms, written as Quantum ESPRESSO input:
```
&SYSTEM
  ibrav = 0, nat = 9, ntyp = 3
/
ATOMIC_SPECIES
Cu 63.55 Cu.upf
Pd 106.42 Pd.upf
Pt 195.08 Pt.upf
CELL_PARAMETERS angstrom
4.844 0.000 0.000
-2.422 4.195 0.000
0.000 0.000 6.853
ATOMIC_POSITIONS crystal
Cu 0.000 0.499 0.322
Cu 0.000 0.501 0.678
Cu 0.499 0.000 0.322
Cu 0.499 0.499 0.678
Cu 0.501 0.000 0.678
Cu 0.501 0.501 0.322
Pd 0.000 0.000 0.500
Pt 0.333 0.667 0.000
Pt 0.667 0.333 0.000
```


b) Compound: Cu6PdPt2
Source: Alexandria via LeMat-Bulk
Functional: PBE
Structure: relaxed Values from VASP.

## Properties
- DOS at the Fermi energy (states/eV/f.u.) = 4.7
- space group = C2/m, No. 12

Cell and atoms, written as Quantum ESPRESSO input:
```
&SYSTEM
  ibrav = 0, nat = 9, ntyp = 3
/
ATOMIC_SPECIES
Cu 63.55 Cu.upf
Pd 106.42 Pd.upf
Pt 195.08 Pt.upf
CELL_PARAMETERS angstrom
3.365 -3.618 0.000
3.365 3.618 0.000
-0.499 0.000 4.937
ATOMIC_POSITIONS crystal
Cu 0.167 0.500 0.333
Cu 0.167 0.833 0.000
Cu 0.500 0.167 0.333
Cu 0.500 0.833 0.667
Cu 0.833 0.167 0.000
Cu 0.833 0.500 0.667
Pd 0.000 0.000 0.500
Pt 0.333 0.333 0.833
Pt 0.667 0.667 0.167
```


Which is the most stable structure? b) is the most stable.


a) Compound: CuPd4Pt4
Source: Alexandria via LeMat-Bulk
Functional: PBE
Structure: relaxed Values from VASP.

## Properties
- DOS at the Fermi energy (states/eV/f.u.) = 18.1
- space group = I4/mmm, No. 139

Cell and atoms, written as Quantum ESPRESSO input:
```
&SYSTEM
  ibrav = 0, nat = 9, ntyp = 3
/
ATOMIC_SPECIES
Cu 63.55 Cu.upf
Pd 106.42 Pd.upf
Pt 195.08 Pt.upf
CELL_PARAMETERS angstrom
-4.149 4.149 1.988
4.149 -4.149 1.988
4.149 4.149 -1.988
ATOMIC_POSITIONS crystal
Cu 0.000 0.000 0.000
Pd 0.000 0.329 0.329
Pd 0.000 0.671 0.671
Pd 0.329 0.000 0.329
Pd 0.671 0.000 0.671
Pt 0.337 0.337 0.673
Pt 0.337 0.663 0.000
Pt 0.663 0.337 0.000
Pt 0.663 0.663 0.327
```


b) Compound: CuPd4Pt4
Source: Alexandria via LeMat-Bulk
Functional: PBE
Structure: relaxed Values from VASP.

## Properties
- DOS at the Fermi energy (states/eV/f.u.) = 15.1
- space group = P4_2/nmc, No. 137

Cell and atoms, written as Quantum ESPRESSO input:
```
&SYSTEM
  ibrav = 0, nat = 18, ntyp = 3
/
ATOMIC_SPECIES
Cu 63.55 Cu.upf
Pd 106.42 Pd.upf
Pt 195.08 Pt.upf
CELL_PARAMETERS angstrom
5.789 0.000 0.000
0.000 5.789 0.000
0.000 0.000 9.312
ATOMIC_POSITIONS crystal
Cu 0.250 0.750 0.250
Cu 0.750 0.250 0.750
Pd 0.002 0.750 0.510
Pd 0.250 0.502 0.990
Pd 0.250 0.998 0.990
Pd 0.498 0.750 0.510
Pd 0.502 0.250 0.490
Pd 0.750 0.002 0.010
Pd 0.750 0.498 0.010
Pd 0.998 0.250 0.490
Pt 0.035 0.250 0.191
Pt 0.250 0.035 0.691
Pt 0.250 0.465 0.691
Pt 0.465 0.250 0.191
Pt 0.535 0.750 0.809
Pt 0.750 0.535 0.309
Pt 0.750 0.965 0.309
Pt 0.965 0.750 0.809
```


Which is the most stable structure? a) is the most stable.


a) Compound: Cu5PdPt2
Source: Alexandria via LeMat-Bulk
Functional: PBE
Structure: relaxed Values from VASP.

## Properties
- DOS at the Fermi energy (states/eV/f.u.) = 6.9
- space group = I4mm, No. 107

Cell and atoms, written as Quantum ESPRESSO input:
```
&SYSTEM
  ibrav = 0, nat = 8, ntyp = 3
/
ATOMIC_SPECIES
Cu 63.55 Cu.upf
Pd 106.42 Pd.upf
Pt 195.08 Pt.upf
CELL_PARAMETERS angstrom
-3.024 3.024 2.936
3.024 -3.024 2.936
3.024 3.024 -2.936
ATOMIC_POSITIONS crystal
Cu 0.000 0.000 0.000
Cu 0.001 0.001 0.501
Cu 0.001 0.500 0.000
Cu 0.500 0.001 0.000
Cu 0.500 0.500 0.499
Pd 0.502 0.502 0.000
Pt 0.001 0.501 0.500
Pt 0.501 0.001 0.500
```


b) Compound: Cu5PdPt2
Source: Alexandria via LeMat-Bulk
Functional: PBE
Structure: relaxed Values from VASP.

## Properties
- DOS at the Fermi energy (states/eV/f.u.) = 6.1
- space group = P4/mmm, No. 123

Cell and atoms, written as Quantum ESPRESSO input:
```
&SYSTEM
  ibrav = 0, nat = 8, ntyp = 3
/
ATOMIC_SPECIES
Cu 63.55 Cu.upf
Pd 106.42 Pd.upf
Pt 195.08 Pt.upf
CELL_PARAMETERS angstrom
5.551 0.000 0.000
0.000 5.551 0.000
0.000 0.000 4.344
ATOMIC_POSITIONS crystal
Cu 0.000 0.000 0.000
Cu 0.296 0.296 0.500
Cu 0.296 0.704 0.500
Cu 0.704 0.296 0.500
Cu 0.704 0.704 0.500
Pd 0.000 0.000 0.500
Pt 0.000 0.500 0.000
Pt 0.500 0.000 0.000
```


Which is the most stable structure? a) is the most stable.